Entry 1:
The following is a DFT calculation (GGA-PBE) of a geometry-optimized KLaGd structure.

a = 5.9227 Å, b = 5.9227 Å, c = 5.9227 Å
α = 60.00°, β = 60.00°, γ = 60.00°
Positions (direct):
K 0.2500 0.2500 0.2500
Gd 0.0000 0.0000 0.0000
La 0.7500 0.7500 0.7500

Properties
The calculation puts the density at 3.79 g/cm3. The space group is F-43m, No. 216. Its excess energy over the best structure of this formula in the dataset is 0.000 eV/atom.



Entry 2:
The following is a DFT calculation (GGA-PBE) of a geometry-optimized KGdMgTe3 structure.

a = 11.9302 Å, b = 4.5138 Å, c = 15.9890 Å
α = 90.00°, β = 90.00°, γ = 90.00°
Positions (direct):
Mg 0.7340 0.2500 0.7190
Mg 0.2340 0.2500 0.7810
Mg 0.7660 0.7500 0.2190
Mg 0.2660 0.7500 0.2810
Gd 0.5175 0.2500 0.2454
Gd 0.9825 0.7500 0.7454
Gd 0.4825 0.7500 0.7546
Gd 0.0175 0.2500 0.2546
Te 0.5776 0.7500 0.1179
Te 0.5395 0.2500 0.6249
Te 0.9224 0.2500 0.6179
Te 0.7338 0.7500 0.8246
Te 0.0395 0.2500 0.8751
Te 0.2662 0.2500 0.1754
Te 0.2338 0.7500 0.6754
Te 0.4605 0.7500 0.3751
Te 0.9605 0.7500 0.1249
Te 0.4224 0.2500 0.8821
Te 0.7662 0.2500 0.3246
Te 0.0776 0.7500 0.3821
K 0.2734 0.2500 0.4965
K 0.7266 0.7500 0.5035
K 0.2266 0.7500 0.9965
K 0.7734 0.2500 0.0035

Properties
The calculation puts the density at 4.66 g/cm3. The space group is Pnma, No. 62. Its excess energy over the best structure of this formula in the dataset is 0.000 eV/atom.



Entry 3:
The following is a DFT calculation (GGA-PBE) of a geometry-optimized KGdMgTe3 structure.

a = 8.3156 Å, b = 8.3156 Å, c = 11.9195 Å
α = 90.00°, β = 90.00°, γ = 148.49°
Positions (direct):
Te 0.8705 0.1295 0.5570
Te 0.5724 0.4276 0.7500
Te 0.1295 0.8705 0.0570
Te 0.1295 0.8705 0.4430
Te 0.8705 0.1295 0.9430
Te 0.4276 0.5724 0.2500
K 0.7496 0.2504 0.2500
K 0.2504 0.7496 0.7500
Mg 0.9663 0.0337 0.7500
Mg 0.0337 0.9663 0.2500
Gd 0.5000 0.5000 0.5000
Gd 0.5000 0.5000 0.0000

Properties
The calculation puts the density at 4.65 g/cm3. The space group is Cmcm, No. 63. Its excess energy over the best structure of this formula in the dataset is 0.000 eV/atom.



Entry 4:
The following is a DFT calculation (GGA-PBE) of a geometry-optimized KGdMgTe3 structure.

a = 9.6228 Å, b = 4.5337 Å, c = 10.7683 Å
α = 90.00°, β = 107.61°, γ = 90.00°
Positions (direct):
K 0.7136 0.2500 0.7374
K 0.2864 0.7500 0.2626
Te 0.7186 0.7500 0.0406
Te 0.3983 0.7500 0.6311
Te 0.0378 0.2500 0.3372
Te 0.6017 0.2500 0.3689
Te 0.2814 0.2500 0.9594
Te 0.9622 0.7500 0.6628
Gd 0.8272 0.7500 0.3655
Gd 0.1728 0.2500 0.6345
Mg 0.4160 0.7500 0.8911
Mg 0.5840 0.2500 0.1089

Properties
The calculation puts the density at 4.48 g/cm3. The space group is P2_1/m, No. 11. Its excess energy over the best structure of this formula in the dataset is 0.003 eV/atom.